1.
Below is a relaxed POs3Pb crystal, with properties calculated at the GGA-PBE level.

abc: 4.4617 4.4617 4.4617
angles: 90.00 90.00 90.00
Last column: nearest neighbours and their distance in Å.
Space group Pm-3m (No. 221)
Inequivalent atoms, fractional coordinates:
P 0.0000 0.0000 0.0000 (multiplicity 1)  6 Os 2.23
Os 0.0000 0.0000 0.5000 (multiplicity 3)  2 P 2.23
Pb 0.5000 0.5000 0.5000 (multiplicity 1)  12 Os 3.15

Summary:
Calculated total energy = -0.27805 Ha/atom
Formation enthalpy at 0 K = 0.995 eV/atom
Calculated volume = 89 Å³ per cell

2.
Below is a relaxed TlNiBr3 crystal, with properties calculated at the GGA-PBE level.

abc: 9.3148 6.5588 12.2167
angles: 90.00 116.15 90.00
Last column: nearest neighbours and their distance in Å.
Space group P2_1/c (No. 14)
Inequivalent atoms, fractional coordinates:
Tl 0.1757 0.2124 0.1952 (multiplicity 4)  5 Br 3.23-3.61
Ni 0.4211 0.7444 0.4353 (multiplicity 4)  5 Br 2.44-2.56
Br 0.1577 0.6825 0.2682 (multiplicity 4)  1 Ni 2.44
Br 0.3189 0.0756 0.4864 (multiplicity 4)  2 Ni 2.48-2.56
Br 0.4598 0.5643 0.6222 (multiplicity 4)  2 Ni 2.45-2.55

Summary:
Calculated total energy = -0.11493 Ha/atom
Calculated volume = 670 Å³ per cell

3.
Below is a relaxed LaSnAsH2 crystal, with properties calculated at the GGA-PBE level.

abc: 4.3603 4.3603 6.0793
angles: 90.00 90.00 90.00
Last column: nearest neighbours and their distance in Å.
Space group P4/mmm (No. 123)
Inequivalent atoms, fractional coordinates:
La 0.0000 0.0000 0.0000 (multiplicity 1)  4 H 2.18
Sn 0.5000 0.5000 0.5000 (multiplicity 1)  4 As 3.08
As 0.0000 0.0000 0.5000 (multiplicity 1)  2 La 3.04, 4 Sn 3.08
H 0.0000 0.5000 0.0000 (multiplicity 2)  2 La 2.18

Summary:
Calculated total energy = -0.15467 Ha/atom
Calculated volume = 116 Å³ per cell